{"formula": "ScCrTe3", "functional": "GGA-PBEsol", "state": "optimized geometry", "spacegroup": "Pm-3m", "n_ef_per_ev_cell": 3.13, "e_form_raw_ev_per_atom": 0.086, "cell": [[5.144, 0.000, 0.000], [0.000, 5.144, 0.000], [0.000, 0.000, 5.144]], "species": ["Te", "Te", "Te", "Cr", "Sc"], "frac_coords": [[0.000, 0.500, 0.000], [0.000, 0.000, 0.500], [0.500, 0.000, 0.000], [0.000, 0.000, 0.000], [0.500, 0.500, 0.500]]}



{"formula": "ScCrTe2", "functional": "GGA-PBEsol", "state": "optimized geometry", "spacegroup": "Immm", "e_above_lowest_polymorph_ev_per_atom": 0.269, "n_ef_per_ev_cell": 2.88, "e_form_raw_ev_per_atom": -0.273, "cell": [[4.651, 0.000, 0.000], [2.325, 4.464, -0.015], [2.325, 1.339, 4.259]], "species": ["Sc", "Te", "Te", "Cr"], "frac_coords": [[0.000, 0.500, 0.500], [0.234, 0.766, 0.766], [0.766, 0.234, 0.234], [0.500, 0.000, 0.000]]}



{"formula": "ScCr4Te", "functional": "GGA-PBEsol", "state": "optimized geometry", "spacegroup": "F-43m", "n_ef_per_ev_cell": 4.11, "e_form_raw_ev_per_atom": 0.183, "cell": [[4.909, 0.000, 0.000], [2.455, 4.252, 0.000], [2.455, 1.417, 4.009]], "species": ["Sc", "Cr", "Cr", "Cr", "Cr", "Te"], "frac_coords": [[0.750, 0.750, 0.750], [0.374, 0.877, 0.374], [0.374, 0.374, 0.877], [0.877, 0.374, 0.374], [0.374, 0.374, 0.374], [0.000, 0.000, 0.000]]}



{"formula": "ScCrTe2", "functional": "GGA-PBEsol", "state": "optimized geometry", "spacegroup": "P4mm", "e_above_lowest_polymorph_ev_per_atom": 0.000, "n_ef_per_ev_cell": 2.03, "e_form_raw_ev_per_atom": -0.542, "cell": [[3.981, 0.000, 0.000], [0.000, 3.981, 0.000], [0.000, 0.000, 5.843]], "species": ["Te", "Te", "Sc", "Cr"], "frac_coords": [[0.500, 0.500, 0.341], [0.000, 0.000, 0.912], [0.500, 0.500, 0.815], [0.000, 0.000, 0.432]]}



{"formula": "Sc2CrTe", "functional": "GGA-PBEsol", "state": "optimized geometry", "spacegroup": "Imm2", "n_ef_per_ev_cell": 4.61, "e_form_raw_ev_per_atom": -0.195, "cell": [[3.713, 0.000, 0.000], [0.000, 4.390, 0.000], [-1.856, -2.195, 4.901]], "species": ["Te", "Cr", "Sc", "Sc"], "frac_coords": [[0.521, 0.521, 0.043], [0.242, 0.742, 0.485], [0.984, 0.984, 0.969], [0.752, 0.252, 0.503]]}



{"formula": "ScCr3Te", "functional": "GGA-PBEsol", "state": "optimized geometry", "spacegroup": "Pm-3m", "n_ef_per_ev_cell": 4.84, "e_form_raw_ev_per_atom": 1.269, "cell": [[4.747, 0.000, 0.000], [0.000, 4.747, 0.000], [0.000, 0.000, 4.747]], "species": ["Cr", "Cr", "Cr", "Sc", "Te"], "frac_coords": [[0.000, 0.000, 0.500], [0.500, 0.000, 0.000], [0.000, 0.500, 0.000], [0.500, 0.500, 0.500], [0.000, 0.000, 0.000]]}



{"formula": "ScTl2Cr", "functional": "GGA-PBEsol", "state": "optimized geometry", "spacegroup": "P4/mmm", "n_ef_per_ev_cell": 2.46, "energy_ev_per_atom": -5.369, "cell": [[-3.621, -1.929, 0.883], [1.395, -0.713, 4.165], [-1.764, 3.887, 1.257]], "species": ["Tl", "Tl", "Cr", "Sc"], "frac_coords": [[0.000, 0.500, 0.000], [0.000, 0.000, 0.500], [0.500, 0.500, 0.500], [0.500, 0.000, 0.000]]}



{"formula": "Sc2TlCr", "functional": "GGA-PBEsol", "state": "optimized geometry", "spacegroup": "Fm-3m", "e_above_lowest_polymorph_ev_per_atom": 0.076, "n_ef_per_ev_cell": 4.60, "cell": [[4.857, 0.000, 0.000], [2.429, 4.206, 0.000], [2.429, 1.402, 3.966]], "species": ["Sc", "Sc", "Cr", "Tl"], "frac_coords": [[0.750, 0.750, 0.750], [0.250, 0.250, 0.250], [0.500, 0.500, 0.500], [0.000, 0.000, 0.000]]}



{"formula": "ScTl2Cr", "functional": "GGA-PBEsol", "state": "optimized geometry", "spacegroup": "Imm2", "n_ef_per_ev_cell": 3.39, "energy_ev_per_atom": -5.292, "cell": [[-2.160, 1.819, 2.222], [-0.831, -3.899, 2.384], [5.398, 2.032, 0.679]], "species": ["Cr", "Sc", "Tl", "Tl"], "frac_coords": [[0.505, 0.505, 0.010], [0.237, 0.737, 0.474], [0.999, 0.999, 0.998], [0.759, 0.259, 0.518]]}



{"formula": "Sc2TlCr", "functional": "GGA-PBEsol", "state": "optimized geometry", "spacegroup": "P4/mmm", "e_above_lowest_polymorph_ev_per_atom": 0.000, "n_ef_per_ev_cell": 3.88, "cell": [[-0.350, 0.594, -3.246], [-1.823, -2.755, -0.308], [-5.898, 3.755, 1.324]], "species": ["Sc", "Sc", "Tl", "Cr"], "frac_coords": [[0.000, 0.000, 0.281], [0.000, 0.000, 0.719], [0.500, 0.500, 0.000], [0.500, 0.500, 0.500]]}



{"formula": "ScTl2Cr", "functional": "GGA-PBEsol", "state": "optimized geometry", "spacegroup": "I-4m2", "n_ef_per_ev_cell": 4.26, "energy_ev_per_atom": -5.289, "cell": [[-1.727, 0.698, -3.772], [-3.490, -2.003, 1.227], [0.813, 4.750, 2.853]], "species": ["Tl", "Tl", "Sc", "Cr"], "frac_coords": [[0.750, 0.250, 0.500], [0.000, 0.000, 0.000], [0.250, 0.750, 0.500], [0.500, 0.500, 0.000]]}



{"formula": "ScTl2Cr", "functional": "GGA-PBEsol", "state": "optimized geometry", "spacegroup": "P4mm", "n_ef_per_ev_cell": 3.69, "energy_ev_per_atom": -5.250, "cell": [[3.628, 0.000, 0.000], [0.000, 3.634, 0.000], [0.000, 0.000, 6.505]], "species": ["Tl", "Tl", "Cr", "Sc"], "frac_coords": [[0.000, 0.000, 0.983], [0.500, 0.500, 0.274], [0.000, 0.000, 0.515], [0.500, 0.500, 0.728]]}



{"formula": "Sc2TlCr", "functional": "GGA-PBEsol", "state": "optimized geometry", "spacegroup": "R-3m", "e_above_lowest_polymorph_ev_per_atom": 0.204, "n_ef_per_ev_cell": 4.14, "cell": [[-0.704, 3.106, -0.131], [-2.818, 1.042, 1.066], [2.420, 2.552, 8.667]], "species": ["Cr", "Tl", "Sc", "Sc"], "frac_coords": [[0.000, 0.000, 0.000], [0.500, 0.500, 0.500], [0.741, 0.741, 0.777], [0.259, 0.259, 0.223]]}



{"formula": "YSc2TlCr", "functional": "GGA-PBEsol", "state": "optimized geometry", "spacegroup": "P4/mmm", "n_ef_per_ev_cell": 4.45, "energy_ev_per_atom": -6.340, "cell": [[4.690, 0.000, 0.000], [0.000, 4.690, 0.000], [0.000, 0.000, 5.232]], "species": ["Cr", "Sc", "Sc", "Tl", "Y"], "frac_coords": [[0.000, 0.000, 0.000], [0.500, 0.000, 0.000], [0.000, 0.500, 0.000], [0.000, 0.000, 0.500], [0.500, 0.500, 0.500]]}



{"formula": "Sc2CrW", "functional": "GGA-PBEsol", "state": "optimized geometry", "spacegroup": "Imm2", "e_above_lowest_polymorph_ev_per_atom": 0.000, "n_ef_per_ev_cell": 4.06, "cell": [[3.215, 0.000, 0.000], [0.000, 4.690, 0.000], [-1.608, -2.345, 4.655]], "species": ["Sc", "Sc", "Cr", "W"], "frac_coords": [[0.020, 0.020, 0.039], [0.240, 0.740, 0.480], [0.779, 0.279, 0.557], [0.462, 0.462, 0.923]]}



{"formula": "Sc2CrW", "functional": "GGA-PBEsol", "state": "optimized geometry", "spacegroup": "P4/mmm", "e_above_lowest_polymorph_ev_per_atom": 0.268, "n_ef_per_ev_cell": 5.62, "cell": [[2.723, 0.000, 0.000], [0.000, 2.723, 0.000], [0.000, 0.000, 9.047]], "species": ["Sc", "Sc", "W", "Cr"], "frac_coords": [[0.000, 0.000, 0.737], [0.000, 0.000, 0.263], [0.500, 0.500, 0.000], [0.500, 0.500, 0.500]]}



{"formula": "Sc2CrW", "functional": "GGA-PBEsol", "state": "optimized geometry", "spacegroup": "R-3m", "e_above_lowest_polymorph_ev_per_atom": 0.536, "n_ef_per_ev_cell": 4.49, "cell": [[-1.808, -1.870, -1.260], [1.044, -2.325, -1.362], [-0.768, -6.475, 7.398]], "species": ["Cr", "Sc", "Sc", "W"], "frac_coords": [[0.500, 0.500, 0.500], [0.093, 0.093, 0.722], [0.907, 0.907, 0.278], [0.000, 0.000, 0.000]]}



{"formula": "Sc2CrW", "functional": "GGA-PBEsol", "state": "optimized geometry", "spacegroup": "P2/m", "e_above_lowest_polymorph_ev_per_atom": 0.237, "n_ef_per_ev_cell": 5.23, "cell": [[2.780, 0.000, -0.009], [0.000, 4.577, 0.000], [-1.384, 0.000, 5.232]], "species": ["Sc", "Sc", "W", "Cr"], "frac_coords": [[0.075, 0.000, 0.254], [0.925, 0.000, 0.746], [0.500, 0.500, 0.000], [0.500, 0.500, 0.500]]}



{"formula": "Sc2CrW", "functional": "GGA-PBEsol", "state": "optimized geometry", "spacegroup": "Pmmm", "e_above_lowest_polymorph_ev_per_atom": 0.243, "n_ef_per_ev_cell": 4.91, "cell": [[-1.075, 2.933, -0.928], [-2.552, -1.914, -3.094], [-3.443, -0.304, 3.027]], "species": ["Sc", "Sc", "W", "Cr"], "frac_coords": [[0.000, 0.000, 0.000], [0.500, 0.500, 0.000], [0.500, 0.000, 0.500], [0.000, 0.500, 0.500]]}



{"formula": "ScCr2W", "functional": "GGA-PBEsol", "state": "optimized geometry", "spacegroup": "Fm-3m", "n_ef_per_ev_cell": 5.70, "energy_ev_per_atom": -9.954, "cell": [[4.338, 0.000, 0.000], [2.169, 3.757, 0.000], [2.169, 1.252, 3.542]], "species": ["Cr", "Cr", "W", "Sc"], "frac_coords": [[0.750, 0.750, 0.750], [0.250, 0.250, 0.250], [0.000, 0.000, 0.000], [0.500, 0.500, 0.500]]}